No. 1
Compound: ReTe2Ru
Source: the Alexandria database
Functional: PBE-GGA
Structure: relaxed

Structure (extended XYZ):
```
4
Lattice="3.128 0.000 0.000 0.000 3.128 0.000 0.000 0.000 8.781" Properties=species:S:1:pos:R:3 pbc="T T T"
Re 0.000 0.000 0.000
Te 0.000 0.000 3.449
Te 1.564 1.564 7.160
Ru 1.564 1.564 1.828
```

Calculated values
Raw formation energy: 0.307 eV/atom
Space-group type: No. 99
Energy above the lowest structure with this stoichiometry: 0.04 eV/f.u.

***

No. 2
Compound: Re2TeRu
Source: the Alexandria database
Functional: PBE-GGA
Structure: relaxed

Structure (extended XYZ):
```
4
Lattice="3.044 0.000 0.000 0.000 3.044 0.000 0.000 0.000 6.963" Properties=species:S:1:pos:R:3 pbc="T T T"
Re 0.000 0.000 1.720
Re 0.000 0.000 5.243
Te 1.522 1.522 3.481
Ru 1.522 1.522 0.000
```

Calculated values
Raw formation energy: 0.682 eV/atom
Space-group type: No. 123

***

No. 3
Compound: ReTe2Ru
Source: the Alexandria database
Functional: PBE-GGA
Structure: relaxed

Structure (extended XYZ):
```
12
Lattice="3.125 0.000 0.000 -1.563 2.707 0.000 0.000 0.000 30.011" Properties=species:S:1:pos:R:3 pbc="T T T"
Re 0.000 0.000 0.000
Re 0.000 1.804 20.008
Re 1.563 0.902 10.004
Te 0.000 0.000 7.917
Te 0.000 0.000 14.115
Te 0.000 1.804 4.112
Te 0.000 1.804 27.924
Te 1.563 0.902 17.920
Te 1.563 0.902 24.119
Ru 0.000 0.000 22.001
Ru 0.000 1.804 11.997
Ru 1.563 0.902 1.993
```

Calculated values
Raw formation energy: 0.423 eV/atom
Space-group type: No. 160
Energy above the lowest structure with this stoichiometry: 0.50 eV/f.u.

***

no.,density (g cm⁻³),total magnetization (μB per atom),E (eV per atom)
1,10.48,0.045,-6.70
2,15.47,0.000,-8.65
3,10.65,0.000,-6.58